[1]
Computed, not measured: a geometry-optimized YTiP2 structure at the GGA-PBE level of DFT.

## Properties
Distance to the lowest polymorph of the same formula (meV/atom): 550
ΔE_f (eV/atom): -0.757

Structure (CIF):
```
data_YTiP2
_chemical_formula_sum 'Y4 Ti4 P8'
_cell_length_a 6.5990
_cell_length_b 6.5990
_cell_length_c 6.5990
_cell_angle_alpha 90.00
_cell_angle_beta 90.00
_cell_angle_gamma 90.00
_symmetry_space_group_name_H-M 'F m -3 m'
_symmetry_Int_Tables_number 225
_symmetry_space_group_name_Hall '-F 4 2 3'
loop_
_atom_site_label
_atom_site_fract_x
_atom_site_fract_y
_atom_site_fract_z
Y1 0.0000 0.0000 0.0000
Ti1 0.0000 0.0000 0.5000
P1 0.2500 0.2500 0.2500
```

=====

[2]
Computed, not measured: a geometry-optimized YTi2P2 structure at the GGA-PBE level of DFT.

## Properties
Distance to the lowest polymorph of the same formula (meV/atom): 0
ΔE_f (eV/atom): -0.953

Structure (CIF):
```
data_YTi2P2
_chemical_formula_sum 'Y2 Ti4 P4'
_cell_length_a 7.0935
_cell_length_b 7.0935
_cell_length_c 3.3537
_cell_angle_alpha 90.00
_cell_angle_beta 90.00
_cell_angle_gamma 90.00
_symmetry_space_group_name_H-M 'P 4/m b m'
_symmetry_Int_Tables_number 127
_symmetry_space_group_name_Hall '-P 4 2ab'
loop_
_atom_site_label
_atom_site_fract_x
_atom_site_fract_y
_atom_site_fract_z
Y1 0.0000 0.0000 0.0000
Ti1 0.1487 0.3513 0.5000
P1 0.1356 0.6356 0.0000
```

=====

[3]
Computed, not measured: a geometry-optimized YTiP2 structure at the GGA-PBE level of DFT.

## Properties
Distance to the lowest polymorph of the same formula (meV/atom): 0
ΔE_f (eV/atom): -1.307

Structure (CIF):
```
data_YTiP2
_chemical_formula_sum 'Y3 Ti3 P6'
_cell_length_a 3.7481
_cell_length_b 3.7481
_cell_length_c 18.5121
_cell_angle_alpha 90.00
_cell_angle_beta 90.00
_cell_angle_gamma 120.00
_symmetry_space_group_name_H-M 'R -3 m'
_symmetry_Int_Tables_number 166
_symmetry_space_group_name_Hall '-R 3 2"'
loop_
_atom_site_label
_atom_site_fract_x
_atom_site_fract_y
_atom_site_fract_z
Y1 0.0000 0.0000 0.0000
Ti1 0.0000 0.0000 0.5000
P1 0.0000 0.0000 0.2396
```

=====

[4]
Computed, not measured: a geometry-optimized YTiP2 structure at the GGA-PBE level of DFT.

## Properties
Distance to the lowest polymorph of the same formula (meV/atom): 547
ΔE_f (eV/atom): -0.760

Structure (CIF):
```
data_YTiP2
_chemical_formula_sum 'Y4 Ti4 P8'
_cell_length_a 5.9330
_cell_length_b 5.9330
_cell_length_c 11.6515
_cell_angle_alpha 90.00
_cell_angle_beta 90.00
_cell_angle_gamma 90.00
_symmetry_space_group_name_H-M 'I -4 2 d'
_symmetry_Int_Tables_number 122
_symmetry_space_group_name_Hall 'I -4 2bw'
loop_
_atom_site_label
_atom_site_fract_x
_atom_site_fract_y
_atom_site_fract_z
Y1 0.0000 0.0000 0.0000
Ti1 0.0000 0.0000 0.5000
P1 0.2034 0.2500 0.6250
```

=====

[5]
Computed, not measured: a geometry-optimized Y3TiP structure at the GGA-PBE level of DFT.

## Properties
Distance to the lowest polymorph of the same formula (meV/atom): 0
ΔE_f (eV/atom): -0.189

Structure (CIF):
```
data_Y3TiP
_chemical_formula_sum 'Y3 Ti1 P1'
_cell_length_a 5.3001
_cell_length_b 5.3001
_cell_length_c 5.3001
_cell_angle_alpha 90.00
_cell_angle_beta 90.00
_cell_angle_gamma 90.00
_symmetry_space_group_name_H-M 'P m -3 m'
_symmetry_Int_Tables_number 221
_symmetry_space_group_name_Hall '-P 4 2 3'
loop_
_atom_site_label
_atom_site_fract_x
_atom_site_fract_y
_atom_site_fract_z
Y1 0.0000 0.0000 0.5000
Ti1 0.5000 0.5000 0.5000
P1 0.0000 0.0000 0.0000
```

=====

[6]
Computed, not measured: a geometry-optimized Y3TiP structure at the GGA-PBE level of DFT.

## Properties
Distance to the lowest polymorph of the same formula (meV/atom): 794
ΔE_f (eV/atom): 0.605

Structure (CIF):
```
data_Y3TiP
_chemical_formula_sum 'Y3 Ti1 P1'
_cell_length_a 5.2215
_cell_length_b 5.2215
_cell_length_c 5.2215
_cell_angle_alpha 90.00
_cell_angle_beta 90.00
_cell_angle_gamma 90.00
_symmetry_space_group_name_H-M 'P m -3 m'
_symmetry_Int_Tables_number 221
_symmetry_space_group_name_Hall '-P 4 2 3'
loop_
_atom_site_label
_atom_site_fract_x
_atom_site_fract_y
_atom_site_fract_z
Y1 0.0000 0.0000 0.5000
Ti1 0.0000 0.0000 0.0000
P1 0.5000 0.5000 0.5000
```

=====

[7]
Computed, not measured: a geometry-optimized YTiP2 structure at the GGA-PBE level of DFT.

## Properties
Distance to the lowest polymorph of the same formula (meV/atom): 101
ΔE_f (eV/atom): -1.206

Structure (CIF):
```
data_YTiP2
_chemical_formula_sum 'Y3 Ti3 P6'
_cell_length_a 3.6967
_cell_length_b 3.6967
_cell_length_c 19.2852
_cell_angle_alpha 90.00
_cell_angle_beta 90.00
_cell_angle_gamma 120.00
_symmetry_space_group_name_H-M 'R 3 m'
_symmetry_Int_Tables_number 160
_symmetry_space_group_name_Hall 'R 3 -2"'
loop_
_atom_site_label
_atom_site_fract_x
_atom_site_fract_y
_atom_site_fract_z
Y1 0.0000 0.0000 0.0000
Ti1 0.0000 0.0000 0.1748
P1 0.0000 0.0000 0.5752
P2 0.0000 0.0000 0.7653
```

=====

[8]
Computed, not measured: a geometry-optimized TiZn3P structure at the GGA-PBE level of DFT.

## Properties
Distance to the lowest polymorph of the same formula (meV/atom): 0
ΔE_f (eV/atom): 0.644

Structure (CIF):
```
data_TiZn3P
_chemical_formula_sum 'Ti1 Zn3 P1'
_cell_length_a 4.5633
_cell_length_b 4.5633
_cell_length_c 4.5633
_cell_angle_alpha 90.00
_cell_angle_beta 90.00
_cell_angle_gamma 90.00
_symmetry_space_group_name_H-M 'P m -3 m'
_symmetry_Int_Tables_number 221
_symmetry_space_group_name_Hall '-P 4 2 3'
loop_
_atom_site_label
_atom_site_fract_x
_atom_site_fract_y
_atom_site_fract_z
Ti1 0.0000 0.0000 0.0000
Zn1 0.0000 0.5000 0.5000
P1 0.5000 0.5000 0.5000
```

=====

[9]
Computed, not measured: a geometry-optimized Ti2ZnP structure at the GGA-PBE level of DFT.

## Properties
Distance to the lowest polymorph of the same formula (meV/atom): 13
ΔE_f (eV/atom): -0.339

Structure (CIF):
```
data_Ti2ZnP
_chemical_formula_sum 'Ti8 Zn4 P4'
_cell_length_a 6.8502
_cell_length_b 6.8502
_cell_length_c 5.4518
_cell_angle_alpha 90.00
_cell_angle_beta 90.00
_cell_angle_gamma 90.00
_symmetry_space_group_name_H-M 'I -4 2 d'
_symmetry_Int_Tables_number 122
_symmetry_space_group_name_Hall 'I -4 2bw'
loop_
_atom_site_label
_atom_site_fract_x
_atom_site_fract_y
_atom_site_fract_z
Ti1 0.2304 0.2500 0.1250
Zn1 0.0000 0.0000 0.5000
P1 0.0000 0.0000 0.0000
```

=====

[10]
Computed, not measured: a geometry-optimized TiZnP2 structure at the GGA-PBE level of DFT.

## Properties
ΔE_f (eV/atom): -0.333

Structure (CIF):
```
data_TiZnP2
_chemical_formula_sum 'Ti4 Zn4 P8'
_cell_length_a 5.5765
_cell_length_b 5.5765
_cell_length_c 11.0173
_cell_angle_alpha 90.00
_cell_angle_beta 90.00
_cell_angle_gamma 90.00
_symmetry_space_group_name_H-M 'I -4 2 d'
_symmetry_Int_Tables_number 122
_symmetry_space_group_name_Hall 'I -4 2bw'
loop_
_atom_site_label
_atom_site_fract_x
_atom_site_fract_y
_atom_site_fract_z
Ti1 0.0000 0.0000 0.0000
Zn1 0.0000 0.0000 0.5000
P1 0.2471 0.2500 0.1250
```

=====

[11]
Computed, not measured: a geometry-optimized TiZnP2 structure at the GGA-PBE level of DFT.

## Properties
ΔE_f (eV/atom): -0.395

Structure (CIF):
```
data_TiZnP2
_chemical_formula_sum 'Ti3 Zn3 P6'
_cell_length_a 3.6193
_cell_length_b 3.6193
_cell_length_c 17.3970
_cell_angle_alpha 90.00
_cell_angle_beta 90.00
_cell_angle_gamma 120.00
_symmetry_space_group_name_H-M 'R 3 m'
_symmetry_Int_Tables_number 160
_symmetry_space_group_name_Hall 'R 3 -2"'
loop_
_atom_site_label
_atom_site_fract_x
_atom_site_fract_y
_atom_site_fract_z
Ti1 0.0000 0.0000 0.0000
Zn1 0.0000 0.0000 0.8322
P1 0.0000 0.0000 0.4157
P2 0.0000 0.0000 0.5880
```

=====

[12]
Computed, not measured: a geometry-optimized TiZnP3 structure at the GGA-PBE level of DFT.

## Properties
Distance to the lowest polymorph of the same formula (meV/atom): 512
ΔE_f (eV/atom): 0.849

Structure (CIF):
```
data_TiZnP3
_chemical_formula_sum 'Ti1 Zn1 P3'
_cell_length_a 4.5485
_cell_length_b 4.5485
_cell_length_c 4.5485
_cell_angle_alpha 90.00
_cell_angle_beta 90.00
_cell_angle_gamma 90.00
_symmetry_space_group_name_H-M 'P m -3 m'
_symmetry_Int_Tables_number 221
_symmetry_space_group_name_Hall '-P 4 2 3'
loop_
_atom_site_label
_atom_site_fract_x
_atom_site_fract_y
_atom_site_fract_z
Ti1 0.0000 0.0000 0.0000
Zn1 0.5000 0.5000 0.5000
P1 0.0000 0.5000 0.5000
```

=====

[13]
Computed, not measured: a geometry-optimized TiZn2P2 structure at the GGA-PBE level of DFT.

## Properties
ΔE_f (eV/atom): -0.216

Structure (CIF):
```
data_TiZn2P2
_chemical_formula_sum 'Ti2 Zn4 P4'
_cell_length_a 6.5725
_cell_length_b 6.5725
_cell_length_c 3.5847
_cell_angle_alpha 90.00
_cell_angle_beta 90.00
_cell_angle_gamma 90.00
_symmetry_space_group_name_H-M 'P 4/m b m'
_symmetry_Int_Tables_number 127
_symmetry_space_group_name_Hall '-P 4 2ab'
loop_
_atom_site_label
_atom_site_fract_x
_atom_site_fract_y
_atom_site_fract_z
Ti1 0.0000 0.0000 0.0000
Zn1 0.1501 0.3499 0.5000
P1 0.1604 0.6604 0.0000
```

=====

[14]
Computed, not measured: a geometry-optimized TiZnP3 structure at the GGA-PBE level of DFT.

## Properties
Distance to the lowest polymorph of the same formula (meV/atom): 0
ΔE_f (eV/atom): 0.336

Structure (CIF):
```
data_TiZnP3
_chemical_formula_sum 'Ti1 Zn1 P3'
_cell_length_a 4.6854
_cell_length_b 4.6854
_cell_length_c 4.6854
_cell_angle_alpha 90.00
_cell_angle_beta 90.00
_cell_angle_gamma 90.00
_symmetry_space_group_name_H-M 'P m -3 m'
_symmetry_Int_Tables_number 221
_symmetry_space_group_name_Hall '-P 4 2 3'
loop_
_atom_site_label
_atom_site_fract_x
_atom_site_fract_y
_atom_site_fract_z
Ti1 0.0000 0.0000 0.0000
Zn1 0.5000 0.5000 0.5000
P1 0.0000 0.0000 0.5000
```

=====

[15]
Computed, not measured: a geometry-optimized Ti2ZnP structure at the GGA-PBE level of DFT.

## Properties
Distance to the lowest polymorph of the same formula (meV/atom): 0
ΔE_f (eV/atom): -0.351

Structure (CIF):
```
data_Ti2ZnP
_chemical_formula_sum 'Ti8 Zn4 P4'
_cell_length_a 6.1784
_cell_length_b 6.1784
_cell_length_c 6.1784
_cell_angle_alpha 90.00
_cell_angle_beta 90.00
_cell_angle_gamma 90.00
_symmetry_space_group_name_H-M 'F m -3 m'
_symmetry_Int_Tables_number 225
_symmetry_space_group_name_Hall '-F 4 2 3'
loop_
_atom_site_label
_atom_site_fract_x
_atom_site_fract_y
_atom_site_fract_z
Ti1 0.2500 0.2500 0.2500
Zn1 0.0000 0.0000 0.0000
P1 0.0000 0.0000 0.5000
```

=====

[16]
Computed, not measured: a geometry-optimized TiZn3P structure at the GGA-PBE level of DFT.

## Properties
Distance to the lowest polymorph of the same formula (meV/atom): 535
ΔE_f (eV/atom): 1.179

Structure (CIF):
```
data_TiZn3P
_chemical_formula_sum 'Ti1 Zn3 P1'
_cell_length_a 4.9207
_cell_length_b 4.9207
_cell_length_c 4.9207
_cell_angle_alpha 90.00
_cell_angle_beta 90.00
_cell_angle_gamma 90.00
_symmetry_space_group_name_H-M 'P m -3 m'
_symmetry_Int_Tables_number 221
_symmetry_space_group_name_Hall '-P 4 2 3'
loop_
_atom_site_label
_atom_site_fract_x
_atom_site_fract_y
_atom_site_fract_z
Ti1 0.0000 0.0000 0.0000
Zn1 0.0000 0.0000 0.5000
P1 0.5000 0.5000 0.5000
```

=====

[17]
Computed, not measured: a geometry-optimized TiZn2P structure at the GGA-PBE level of DFT.

## Properties
ΔE_f (eV/atom): -0.152

Structure (CIF):
```
data_TiZn2P
_chemical_formula_sum 'Ti4 Zn8 P4'
_cell_length_a 7.3266
_cell_length_b 7.3266
_cell_length_c 4.8442
_cell_angle_alpha 90.00
_cell_angle_beta 90.00
_cell_angle_gamma 90.00
_symmetry_space_group_name_H-M 'I -4 2 d'
_symmetry_Int_Tables_number 122
_symmetry_space_group_name_Hall 'I -4 2bw'
loop_
_atom_site_label
_atom_site_fract_x
_atom_site_fract_y
_atom_site_fract_z
Ti1 0.0000 0.0000 0.0000
Zn1 0.2072 0.7500 0.6250
P1 0.0000 0.0000 0.5000
```

=====

[18]
Computed, not measured: a geometry-optimized ZrTi2P2 structure at the GGA-PBE level of DFT.

## Properties
Distance to the lowest polymorph of the same formula (meV/atom): 0
ΔE_f (eV/atom): -1.086

Structure (CIF):
```
data_ZrTi2P2
_chemical_formula_sum 'Zr2 Ti4 P4'
_cell_length_a 6.8112
_cell_length_b 6.8112
_cell_length_c 3.3830
_cell_angle_alpha 90.00
_cell_angle_beta 90.00
_cell_angle_gamma 90.00
_symmetry_space_group_name_H-M 'P 4/m b m'
_symmetry_Int_Tables_number 127
_symmetry_space_group_name_Hall '-P 4 2ab'
loop_
_atom_site_label
_atom_site_fract_x
_atom_site_fract_y
_atom_site_fract_z
Zr1 0.0000 0.0000 0.0000
Ti1 0.1562 0.3438 0.5000
P1 0.1370 0.6370 0.0000
```

=====

[19]
Computed, not measured: a geometry-optimized ZrTiP structure at the GGA-PBE level of DFT.

## Properties
ΔE_f (eV/atom): -0.908

Structure (CIF):
```
data_ZrTiP
_chemical_formula_sum 'Zr4 Ti4 P4'
_cell_length_a 9.4536
_cell_length_b 3.6196
_cell_length_c 6.6761
_cell_angle_alpha 90.00
_cell_angle_beta 102.95
_cell_angle_gamma 90.00
_symmetry_space_group_name_H-M 'C 1 2/m 1'
_symmetry_Int_Tables_number 12
loop_
_symmetry_equiv_pos_as_xyz
'x,y,z'
'-x,-y,-z'
'-x,y,-z'
'x,-y,z'
'x+1/2,y+1/2,z'
'-x+1/2,-y+1/2,-z'
'-x+1/2,y+1/2,-z'
'x+1/2,-y+1/2,z'
loop_
_atom_site_label
_atom_site_fract_x
_atom_site_fract_y
_atom_site_fract_z
Zr1 0.1133 0.0000 0.3178
Ti1 0.1308 0.5000 0.9424
P1 0.1832 0.0000 0.7167
```

=====

[20]
Computed, not measured: a geometry-optimized ZrTiP2 structure at the GGA-PBE level of DFT.

## Properties
Distance to the lowest polymorph of the same formula (meV/atom): 23
ΔE_f (eV/atom): -1.197

Structure (CIF):
```
data_ZrTiP2
_chemical_formula_sum 'Zr3 Ti3 P6'
_cell_length_a 3.6464
_cell_length_b 3.6464
_cell_length_c 17.7662
_cell_angle_alpha 90.00
_cell_angle_beta 90.00
_cell_angle_gamma 120.00
_symmetry_space_group_name_H-M 'R -3 m'
_symmetry_Int_Tables_number 166
_symmetry_space_group_name_Hall '-R 3 2"'
loop_
_atom_site_label
_atom_site_fract_x
_atom_site_fract_y
_atom_site_fract_z
Zr1 0.0000 0.0000 0.0000
Ti1 0.0000 0.0000 0.5000
P1 0.0000 0.0000 0.2442
```